No. 1
The following is a GGA-PBE calculation of a relaxed structure of CsLiTe2, from the Alexandria database.

Cell: 5.582 8.599 5.583 Å, 112.95 66.03 67.08°
Positions (direct):
1 Te 0.528 0.822 0.686
2 Te 0.947 0.936 0.268
3 Cs 0.484 0.379 0.223
4 Li 0.495 0.879 0.234

Properties
* formation energy from raw total energies: -3.144 eV per formula unit
* polymorph energy (0 for the lowest one): 0.039 eV/atom
* SG: C2 (5)

***

No. 2
The following is a GGA-PBE calculation of a relaxed structure of La5SmGa2, from the Alexandria database.

Cell: 5.485 5.485 20.077 Å, 90.00 90.00 120.00°
Positions (direct):
1 La 0.000 0.000 0.653
2 La 0.000 0.000 0.847
3 La 0.667 0.333 0.250
4 La 0.667 0.333 0.057
5 La 0.333 0.667 0.943
6 La 0.333 0.667 0.557
7 La 0.000 0.000 0.347
8 La 0.333 0.667 0.750
9 La 0.000 0.000 0.153
10 La 0.667 0.333 0.443
11 Ga 0.667 0.333 0.599
12 Ga 0.333 0.667 0.099
13 Ga 0.333 0.667 0.401
14 Ga 0.667 0.333 0.901
15 Sm 0.333 0.667 0.250
16 Sm 0.667 0.333 0.750

Properties
* formation energy: -1.49 eV per formula unit
* SG: P6_3/mmc (194)

***

No. 3
The following is a GGA-PBE calculation of a relaxed structure of BaLi2Zn, from the Alexandria database.

Cell: 4.814 4.814 6.458 Å, 67.92 67.92 60.02°
Positions (direct):
1 Zn 0.557 0.557 0.327
2 Ba 0.755 0.755 0.739
3 Li 0.244 0.244 0.267
4 Li 0.944 0.944 0.167

Properties
* formation energy: -0.28 eV per formula unit
* SG: Cm (8)

***

No. 4
The following is a GGA-PBE calculation of a relaxed structure of AlCdMo4, from the Alexandria database.

Cell: 5.291 5.291 5.291 Å, 60.00 60.00 60.00°
Positions (direct):
1 Mo 0.123 0.626 0.626
2 Mo 0.626 0.626 0.123
3 Mo 0.626 0.123 0.626
4 Mo 0.626 0.626 0.626
5 Cd 0.000 0.000 0.000
6 Al 0.250 0.250 0.250

Properties
* formation energy: 2.54 eV per formula unit
* SG: F-43m (216)

***

No. 5
The following is a GGA-PBE calculation of a relaxed structure of KTaTeN2, from the Alexandria database.

Cell: 4.219 4.219 5.644 Å, 90.00 90.00 90.00°
Positions (direct):
1 K 0.500 0.500 0.500
2 Te 0.000 0.000 0.500
3 Ta 0.000 0.000 0.000
4 N 0.000 0.500 0.000
5 N 0.500 0.000 0.000

Properties
* formation energy from raw total energies: 0.638 eV per formula unit
* polymorph energy (0 for the lowest one): 0.000 eV/atom
* SG: P4/mmm (123)

***

No. 6
The following is a GGA-PBE calculation of a relaxed structure of Y2GaTeAs, from the Alexandria database.

Cell: 5.547 4.900 5.547 Å, 90.00 90.00 90.00°
Positions (direct):
1 Y 0.000 0.000 0.500
2 Y 0.500 0.000 0.000
3 Ga 0.000 0.000 0.000
4 As 0.500 0.500 0.500
5 Te 0.000 0.500 0.000

Properties
* formation energy from raw total energies: 0.083 eV per formula unit
* SG: P4/mmm (123)

***

No. 7
The following is a GGA-PBE calculation of a relaxed structure of Na6Cd2Au, from the Alexandria database.

Cell: 5.385 5.385 10.789 Å, 75.55 75.55 60.00°
Positions (direct):
1 Cd 0.089 0.089 0.732
2 Cd 0.911 0.911 0.268
3 Na 0.306 0.306 0.082
4 Na 0.578 0.578 0.265
5 Na 0.694 0.694 0.918
6 Na 0.192 0.192 0.424
7 Na 0.422 0.422 0.735
8 Na 0.808 0.808 0.576
9 Au 0.000 0.000 0.000

Properties
* formation energy: -1.03 eV per formula unit
* polymorph energy (0 for the lowest one): 0.000 eV/atom
* SG: R-3m (166)

***

No. 8
The following is a GGA-PBE calculation of a relaxed structure of Sm4YEr3, from the Alexandria database.

Cell: 6.302 7.297 11.409 Å, 90.00 90.00 90.00°
Positions (direct):
1 Er 0.148 0.379 0.500
2 Er 0.982 0.622 0.750
3 Er 0.482 0.378 0.250
4 Er 0.648 0.621 0.000
5 Er 0.482 0.378 0.750
6 Er 0.982 0.622 0.250
7 Sm 0.480 0.873 0.752
8 Sm 0.650 0.128 0.000
9 Sm 0.150 0.872 0.500
10 Sm 0.145 0.873 0.000
11 Sm 0.980 0.127 0.748
12 Sm 0.645 0.127 0.500
13 Sm 0.480 0.873 0.248
14 Sm 0.980 0.127 0.252
15 Y 0.649 0.623 0.500
16 Y 0.149 0.377 0.000

Properties
* formation energy: 0.16 eV per formula unit
* polymorph energy (0 for the lowest one): 0.000 eV/atom
* SG: Pmn2_1 (31)

***

No. 9
The following is a GGA-PBE calculation of a relaxed structure of MoH2W, from the Alexandria database.

Cell: 2.927 2.927 5.076 Å, 73.24 73.24 60.00°
Positions (direct):
1 H 0.251 0.251 0.246
2 H 0.749 0.749 0.754
3 Mo 0.000 0.000 0.000
4 W 0.500 0.500 0.500

Properties
* polymorph energy (0 for the lowest one): 0.000 eV/atom
* SG: R-3m (166)

***

No. 10
The following is a GGA-PBE calculation of a relaxed structure of Rb3Br2Cl, from the Alexandria database.

Cell: 4.861 6.916 8.481 Å, 114.06 106.66 90.00°
Positions (direct):
1 Rb 0.159 0.659 0.818
2 Rb 0.841 0.341 0.182
3 Rb 0.500 0.000 0.500
4 Br 0.168 0.168 0.836
5 Br 0.832 0.832 0.164
6 Cl 0.500 0.500 0.500

Properties
* formation energy from raw total energies: -10.862 eV per formula unit
* SG: Immm (71)

***

No. 11
The following is a GGA-PBE calculation of a relaxed structure of SbS2I, from the Alexandria database.

Cell: 5.023 5.023 5.023 Å, 60.00 60.00 60.00°
Positions (direct):
1 Sb 0.000 0.000 0.000
2 S 0.250 0.250 0.250
3 S 0.750 0.750 0.750
4 I 0.500 0.500 0.500

Properties
* formation energy from raw total energies: 2.271 eV per formula unit
* polymorph energy (0 for the lowest one): 0.583 eV/atom
* SG: Fm-3m (225)

***

No. 12
The following is a GGA-PBE calculation of a relaxed structure of YTaO2, from the Alexandria database.

Cell: 4.100 4.100 4.100 Å, 60.00 60.00 60.00°
Positions (direct):
1 Ta 0.500 0.500 0.500
2 O 0.250 0.250 0.250
3 O 0.750 0.750 0.750
4 Y 0.000 0.000 0.000

Properties
* formation energy from raw total energies: -5.203 eV per formula unit
* polymorph energy (0 for the lowest one): 1.005 eV/atom
* SG: Fm-3m (225)

***

No. 13
The following is a GGA-PBE calculation of a relaxed structure of K2TaHgOs, from the Alexandria database.

Cell: 6.473 4.705 6.473 Å, 90.00 90.00 90.00°
Positions (direct):
1 K 0.500 0.000 0.000
2 K 0.000 0.000 0.500
3 Os 0.000 0.000 0.000
4 Hg 0.500 0.500 0.500
5 Ta 0.000 0.500 0.000

Properties
* formation energy: 5.67 eV per formula unit
* SG: P4/mmm (123)

***

No. 14
The following is a GGA-PBE calculation of a relaxed structure of LiNi2H4, from the Alexandria database.

Cell: 2.624 4.552 8.003 Å, 90.00 90.00 106.75°
Positions (direct):
1 Ni 0.865 0.730 0.935
2 Ni 0.135 0.270 0.435
3 Ni 0.865 0.730 0.565
4 Ni 0.135 0.270 0.065
5 H 0.500 0.000 0.500
6 H 0.058 0.115 0.250
7 H 0.500 0.000 0.000
8 H 0.942 0.885 0.750
9 H 0.755 0.511 0.106
10 H 0.755 0.511 0.394
11 H 0.245 0.489 0.606
12 H 0.245 0.489 0.894
13 Li 0.406 0.812 0.250
14 Li 0.594 0.188 0.750

Properties
* polymorph energy (0 for the lowest one): 0.011 eV/atom
* SG: Cmcm (63)

***

No. 15
The following is a GGA-PBE calculation of a relaxed structure of EuScAu, from the Alexandria database.

Cell: 3.586 3.586 6.659 Å, 105.62 105.62 90.00°
Positions (direct):
1 Eu 0.015 0.015 0.031
2 Au 0.692 0.692 0.384
3 Sc 0.293 0.293 0.586

Properties
* formation energy: -1.45 eV per formula unit
* polymorph energy (0 for the lowest one): 0.000 eV/atom
* SG: I4mm (107)